[1]
# Pd7PtAu4

An optimized crystal structure of Pd7PtAu4 (GGA-PBE, Alexandria via LeMat-Bulk).

Unit cell a=5.653 b=7.490 c=7.229 alpha=81.35 beta=89.65 gamma=40.93
Fractional coordinates of all 12 atoms:
Pd1 0.746 0.500 0.999
Pd2 0.254 0.500 0.001
Pd3 0.973 0.276 0.672
Pd4 0.027 0.724 0.328
Pd5 0.219 0.782 0.670
Pd6 0.500 0.000 0.000
Pd7 0.781 0.218 0.330
Pt1 0.000 0.000 0.000
Au1 0.525 0.720 0.333
Au2 0.475 0.280 0.667
Au3 0.724 0.775 0.670
Au4 0.276 0.225 0.330

Energy above the most stable polymorph in this dataset (kcal/mol of atoms): 0.00
DOS at the Fermi energy (states/eV/atom): 1.748
Symmetry: P-1

[2]
# PdPt2Au4

An optimized crystal structure of PdPt2Au4 (GGA-PBE, Alexandria via LeMat-Bulk).

Unit cell a=2.813 b=2.813 c=17.821 alpha=85.47 beta=85.47 gamma=60.00
Fractional coordinates of all 7 atoms:
Pd1 0.000 0.000 0.000
Pt1 0.237 0.237 0.290
Pt2 0.763 0.763 0.710
Au1 0.712 0.712 0.865
Au2 0.288 0.288 0.135
Au3 0.143 0.143 0.571
Au4 0.857 0.857 0.429

DOS at the Fermi energy (states/eV/atom): 0.438
Symmetry: R-3m

| no. | total magnetization (μB/cell) | volume (A^3/atom) | formation enthalpy at 0 K (eV/atom) |
| --- | --- | --- | --- |
| 1 | 0.00 | 16.29 | -0.0235 |
| 2 | 0.00 | 17.37 | 0.0709 |